[1]
The following is a GGA-PBEsol calculation of a geometry-optimized Zr2AsRh structure, from Alexandria via LeMat-Bulk.

The structure in POSCAR format:
```
Zr2AsRh
1.0
3.9870 0.0000 0.0000
0.0000 3.5787 0.0000
0.0000 0.0000 10.1345
Zr As Rh
4 2 2
Direct
0.0000 0.0000 0.0000
0.0000 0.5000 0.5000
0.5000 0.0000 0.2905
0.5000 0.5000 0.7905
0.0000 0.0000 0.7276
0.0000 0.5000 0.2276
0.5000 0.0000 0.5623
0.5000 0.5000 0.0623
```

The calculation puts the magnetization at 0.00 μB per atom. The formation energy from the elements is -0.950 eV per atom.

[2]
The following is a GGA-PBEsol calculation of a geometry-optimized SbAs2Ru structure, from Alexandria via LeMat-Bulk.

The structure in POSCAR format:
```
SbAs2Ru
1.0
3.2116 0.0000 0.0000
0.0000 4.5872 0.0000
0.0000 0.0000 4.8241
Sb As Ru
1 2 1
Direct
0.0000 0.0000 0.0000
0.0000 0.5000 0.5000
0.5000 0.0000 0.5000
0.5000 0.5000 0.0000
```

The uncorrected formation energy is 43.2 kJ per mole of atoms. The calculation puts the magnetization at 0.00 μB per atom.

[3]
The following is a GGA-PBEsol calculation of a geometry-optimized SbAs2Ru2 structure, from Alexandria via LeMat-Bulk.

The structure in POSCAR format:
```
SbAs2Ru2
1.0
3.8697 0.0000 0.0000
0.0000 3.8697 0.0000
0.0000 0.0000 11.7179
Sb As Ru
2 4 4
Direct
0.0000 0.0000 0.0000
0.5000 0.5000 0.5000
0.0000 0.5000 0.2500
0.0000 0.5000 0.7500
0.5000 0.0000 0.2500
0.5000 0.0000 0.7500
0.0000 0.0000 0.3790
0.0000 0.0000 0.6210
0.5000 0.5000 0.1210
0.5000 0.5000 0.8790
```

The uncorrected formation energy is 11.7 kJ per mole of atoms. The calculation puts the magnetization at 0.00 μB per atom.

[4]
The following is a GGA-PBEsol calculation of a geometry-optimized SbAs4Ru structure, from Alexandria via LeMat-Bulk.

The structure in POSCAR format:
```
SbAs4Ru
1.0
0.0000 3.8404 3.8404
3.8404 0.0000 3.8404
3.8404 3.8404 0.0000
Sb As Ru
1 4 1
Direct
0.0000 0.0000 0.0000
0.3747 0.3747 0.3747
0.3747 0.3747 0.8759
0.3747 0.8759 0.3747
0.8759 0.3747 0.3747
0.7500 0.7500 0.7500
```

The uncorrected formation energy is 76.5 kJ per mole of atoms. The calculation puts the magnetization at 0.00 μB per atom.

[5]
The following is a GGA-PBEsol calculation of a geometry-optimized SbAsRu4 structure, from Alexandria via LeMat-Bulk.

The structure in POSCAR format:
```
SbAsRu4
1.0
0.0000 3.6225 3.6225
3.6225 0.0000 3.6225
3.6225 3.6225 0.0000
Sb As Ru
1 1 4
Direct
0.0000 0.0000 0.0000
0.7500 0.7500 0.7500
0.3753 0.3753 0.3753
0.3753 0.3753 0.8741
0.3753 0.8741 0.3753
0.8741 0.3753 0.3753
```

The uncorrected formation energy is 59.8 kJ per mole of atoms. The calculation puts the magnetization at 0.00 μB per atom.

[6]
The following is a GGA-PBEsol calculation of a geometry-optimized SbAsRu2 structure, from Alexandria via LeMat-Bulk.

The structure in POSCAR format:
```
SbAsRu2
1.0
6.3793 0.0000 0.0000
0.0000 6.3793 0.0000
0.0000 0.0000 6.3793
Sb As Ru
4 4 8
Direct
0.0000 0.0000 0.0000
0.0000 0.5000 0.5000
0.5000 0.0000 0.5000
0.5000 0.5000 0.0000
0.2500 0.2500 0.2500
0.2500 0.7500 0.7500
0.7500 0.2500 0.7500
0.7500 0.7500 0.2500
0.0000 0.0000 0.5000
0.0000 0.5000 0.0000
0.2500 0.2500 0.7500
0.2500 0.7500 0.2500
0.5000 0.0000 0.0000
0.5000 0.5000 0.5000
0.7500 0.2500 0.2500
0.7500 0.7500 0.7500
```

The uncorrected formation energy is 55.4 kJ per mole of atoms. The calculation puts the magnetization at 0.00 μB per atom. The energy relative to the lowest polymorph listed for this composition is 2.40 eV per formula unit.

[7]
The following is a GGA-PBEsol calculation of a geometry-optimized SbAs2Ru structure, from Alexandria via LeMat-Bulk.

The structure in POSCAR format:
```
SbAs2Ru
1.0
4.7460 0.0000 0.0000
0.0000 4.7460 0.0000
0.0000 0.0000 3.1574
Sb As Ru
1 2 1
Direct
0.0000 0.0000 0.0000
0.0000 0.5000 0.5000
0.5000 0.0000 0.5000
0.5000 0.5000 0.0000
```

The uncorrected formation energy is 48.4 kJ per mole of atoms. The calculation puts the magnetization at 0.00 μB per atom.

[8]
The following is a GGA-PBEsol calculation of a geometry-optimized SbAsRu2 structure, from Alexandria via LeMat-Bulk.

The structure in POSCAR format:
```
SbAsRu2
1.0
3.0630 0.0000 0.0000
-1.5315 2.6526 0.0000
0.0000 0.0000 23.4076
Sb As Ru
3 3 6
Direct
0.0000 0.0000 0.0000
0.3333 0.6667 0.6667
0.6667 0.3333 0.3333
0.0000 0.0000 0.5000
0.3333 0.6667 0.1667
0.6667 0.3333 0.8333
0.0000 0.0000 0.2440
0.0000 0.0000 0.7560
0.3333 0.6667 0.4227
0.3333 0.6667 0.9107
0.6667 0.3333 0.0893
0.6667 0.3333 0.5773
```

The uncorrected formation energy is 6.6 kJ per mole of atoms. The calculation puts the magnetization at 0.00 μB per atom. The energy relative to the lowest polymorph listed for this composition is 0.38 eV per formula unit.

[9]
The following is a GGA-PBEsol calculation of a geometry-optimized SbAs2Ru structure, from Alexandria via LeMat-Bulk.

The structure in POSCAR format:
```
SbAs2Ru
1.0
3.0185 0.0000 0.0000
0.0000 4.6365 0.0000
0.0000 0.0000 10.7975
Sb As Ru
2 4 2
Direct
0.0000 0.0000 0.0000
0.5000 0.5000 0.5000
0.0000 0.5000 0.1921
0.0000 0.5000 0.8079
0.5000 0.0000 0.3079
0.5000 0.0000 0.6921
0.0000 0.0000 0.5000
0.5000 0.5000 0.0000
```

The uncorrected formation energy is 16.5 kJ per mole of atoms. The calculation puts the magnetization at 0.00 μB per atom.

[10]
The following is a GGA-PBEsol calculation of a geometry-optimized SbAs2Ru structure, from Alexandria via LeMat-Bulk.

The structure in POSCAR format:
```
SbAs2Ru
1.0
3.1596 0.0000 0.0000
-1.5798 2.7363 0.0000
0.0000 0.0000 26.0774
Sb As Ru
3 6 3
Direct
0.0000 0.0000 0.0000
0.3333 0.6667 0.6667
0.6667 0.3333 0.3333
0.0000 0.0000 0.2328
0.0000 0.0000 0.7672
0.3333 0.6667 0.4339
0.3333 0.6667 0.8995
0.6667 0.3333 0.1005
0.6667 0.3333 0.5661
0.0000 0.0000 0.5000
0.3333 0.6667 0.1667
0.6667 0.3333 0.8333
```

The uncorrected formation energy is 2.7 kJ per mole of atoms. The calculation puts the magnetization at 0.00 μB per atom.

[11]
The following is a GGA-PBEsol calculation of a geometry-optimized SbAsRu2 structure, from Alexandria via LeMat-Bulk.

The structure in POSCAR format:
```
SbAsRu2
1.0
3.0671 0.0000 0.0000
0.0000 4.6942 0.0000
0.0000 0.0000 4.4773
Sb As Ru
1 1 2
Direct
0.0000 0.0000 0.0000
0.5000 0.5000 0.7034
0.0000 0.5000 0.2794
0.5000 0.0000 0.4927
```

The uncorrected formation energy is -2.5 kJ per mole of atoms. The calculation puts the magnetization at 0.00 μB per atom. The energy relative to the lowest polymorph listed for this composition is 0.00 eV per formula unit.

[12]
The following is a GGA-PBEsol calculation of a geometry-optimized SbAs2RuSe structure, from Alexandria via LeMat-Bulk.

The structure in POSCAR format:
```
SbAs2RuSe
1.0
4.6066 0.0000 0.0000
0.0000 4.6066 0.0000
0.0000 0.0000 5.2268
Sb As Ru Se
1 2 1 1
Direct
0.0000 0.0000 0.0000
0.0000 0.5000 0.5000
0.5000 0.0000 0.5000
0.5000 0.5000 0.5000
0.5000 0.5000 0.0000
```

The uncorrected formation energy is 38.5 kJ per mole of atoms. The calculation puts the magnetization at 0.00 μB per atom.

[13]
The following is a GGA-PBEsol calculation of a geometry-optimized Sb2TeAsRu structure, from Alexandria via LeMat-Bulk.

The structure in POSCAR format:
```
Sb2TeAsRu
1.0
5.2113 0.0000 0.0000
0.0000 5.2113 0.0000
0.0000 0.0000 5.1330
Sb Te As Ru
2 1 1 1
Direct
0.0000 0.5000 0.0000
0.5000 0.0000 0.0000
0.0000 0.0000 0.5000
0.0000 0.0000 0.0000
0.5000 0.5000 0.5000
```

The uncorrected formation energy is 135.7 kJ per mole of atoms. The calculation puts the magnetization at 0.34 μB per atom.

[14]
The following is a GGA-PBEsol calculation of a geometry-optimized ScAs2Ru structure, from Alexandria via LeMat-Bulk.

The structure in POSCAR format:
```
ScAs2Ru
1.0
6.3841 0.0000 0.0000
0.0000 6.3841 0.0000
0.0000 0.0000 6.3841
Sc As Ru
4 8 4
Direct
0.0000 0.0000 0.0000
0.0000 0.5000 0.5000
0.5000 0.0000 0.5000
0.5000 0.5000 0.0000
0.0000 0.0000 0.5000
0.0000 0.5000 0.0000
0.2500 0.2500 0.2500
0.2500 0.7500 0.7500
0.5000 0.0000 0.0000
0.5000 0.5000 0.5000
0.7500 0.2500 0.7500
0.7500 0.7500 0.2500
0.2500 0.2500 0.7500
0.2500 0.7500 0.2500
0.7500 0.2500 0.2500
0.7500 0.7500 0.7500
```

The calculation puts the magnetization at 0.00 μB per atom. The energy relative to the lowest polymorph listed for this composition is 1.67 eV per formula unit. The formation energy from the elements is -0.219 eV per atom.

[15]
The following is a GGA-PBEsol calculation of a geometry-optimized ScAs2Ru structure, from Alexandria via LeMat-Bulk.

The structure in POSCAR format:
```
ScAs2Ru
1.0
3.1074 0.0000 0.0000
0.0000 3.7260 0.0000
0.0000 0.0000 11.6892
Sc As Ru
2 4 2
Direct
0.0000 0.0000 0.0000
0.5000 0.5000 0.5000
0.0000 0.0000 0.4049
0.0000 0.5000 0.1682
0.5000 0.0000 0.6682
0.5000 0.5000 0.9049
0.0000 0.5000 0.7408
0.5000 0.0000 0.2408
```

The calculation puts the magnetization at 0.00 μB per atom. The energy relative to the lowest polymorph listed for this composition is 0.01 eV per formula unit. The formation energy from the elements is -0.633 eV per atom.

[16]
The following is a GGA-PBEsol calculation of a geometry-optimized Sc3AsRu structure, from Alexandria via LeMat-Bulk.

The structure in POSCAR format:
```
Sc3AsRu
1.0
4.8442 0.0000 0.0000
0.0000 4.8442 0.0000
0.0000 0.0000 4.8442
Sc As Ru
3 1 1
Direct
0.0000 0.0000 0.5000
0.0000 0.5000 0.0000
0.5000 0.0000 0.0000
0.0000 0.0000 0.0000
0.5000 0.5000 0.5000
```

The calculation puts the magnetization at 0.00 μB per atom. The formation energy from the elements is 0.203 eV per atom.

[17]
The following is a GGA-PBEsol calculation of a geometry-optimized ScAs2Ru structure, from Alexandria via LeMat-Bulk.

The structure in POSCAR format:
```
ScAs2Ru
1.0
6.6343 0.0000 0.0000
0.0000 3.8548 0.0000
-2.2479 0.0000 5.3534
Sc As Ru
2 4 2
Direct
0.0000 0.0000 0.0000
0.5000 0.5000 0.0000
0.2377 0.0000 0.7136
0.2623 0.5000 0.2864
0.7377 0.5000 0.7136
0.7623 0.0000 0.2864
0.0000 0.5000 0.5000
0.5000 0.0000 0.5000
```

The calculation puts the magnetization at 0.00 μB per atom. The energy relative to the lowest polymorph listed for this composition is 0.00 eV per formula unit. The formation energy from the elements is -0.636 eV per atom.

[18]
The following is a GGA-PBEsol calculation of a geometry-optimized ScAsRu2Se structure, from Alexandria via LeMat-Bulk.

The structure in POSCAR format:
```
ScAsRu2Se
1.0
4.4257 0.0000 0.0000
0.0000 4.4257 0.0000
0.0000 0.0000 5.0483
Sc As Ru Se
1 1 2 1
Direct
0.0000 0.0000 0.0000
0.5000 0.5000 0.0000
0.0000 0.5000 0.5000
0.5000 0.0000 0.5000
0.5000 0.5000 0.5000
```

The uncorrected formation energy is 59.2 kJ per mole of atoms. The calculation puts the magnetization at 0.00 μB per atom.

[19]
The following is a GGA-PBEsol calculation of a geometry-optimized SnAsRuSe2 structure, from Alexandria via LeMat-Bulk.

The structure in POSCAR format:
```
SnAsRuSe2
1.0
5.1098 0.0000 0.0000
0.0000 5.1098 0.0000
0.0000 0.0000 5.1097
Sn As Ru Se
1 1 1 2
Direct
0.0000 0.0000 0.0000
0.0000 0.0000 0.5000
0.5000 0.5000 0.5000
0.0000 0.5000 0.0000
0.5000 0.0000 0.0000
```

The uncorrected formation energy is 138.5 kJ per mole of atoms. The calculation puts the magnetization at 0.59 μB per atom.

[20]
The following is a GGA-PBEsol calculation of a geometry-optimized SrAs2RuSe structure, from Alexandria via LeMat-Bulk.

The structure in POSCAR format:
```
SrAs2RuSe
1.0
4.6265 0.0000 0.0000
0.0000 4.6265 0.0000
0.0000 0.0000 5.5837
Sr As Ru Se
1 2 1 1
Direct
0.0000 0.0000 0.0000
0.0000 0.5000 0.5000
0.5000 0.0000 0.5000
0.5000 0.5000 0.5000
0.5000 0.5000 0.0000
```

The uncorrected formation energy is -34.7 kJ per mole of atoms. The calculation puts the magnetization at 0.00 μB per atom. The energy relative to the lowest polymorph listed for this composition is 0.00 eV per formula unit.